An optimized crystal structure of Eu2BiS, computed with GGA-PBE.

```
data_Eu2BiS
_space_group_name_H-M_alt 'P 1'
_space_group_IT_number 1
_space_group_name_Hall 'P 1'
_cell_length_a 4.239
_cell_length_b 4.239
_cell_length_c 8.187
_cell_angle_alpha 74.99
_cell_angle_beta 74.99
_cell_angle_gamma 60.00
loop_
_atom_site_label
_atom_site_type_symbol
_atom_site_fract_x
_atom_site_fract_y
_atom_site_fract_z
Eu1 Eu 0.737 0.737 0.788
Eu2 Eu 0.263 0.263 0.212
S1 S 0.000 0.000 0.000
Bi1 Bi 0.500 0.500 0.500
```

- final energy (eV per atom) = -8.55
- energy relative to the elements, uncorrected (meV per atom) = -1407

An optimized crystal structure of PrPt5Pb, computed with GGA-PBE.

```
data_PrPt5Pb
_space_group_name_H-M_alt 'P 1'
_space_group_IT_number 1
_space_group_name_Hall 'P 1'
_cell_length_a 5.442
_cell_length_b 9.053
_cell_length_c 11.148
_cell_angle_alpha 90.00
_cell_angle_beta 90.00
_cell_angle_gamma 90.00
loop_
_atom_site_label
_atom_site_type_symbol
_atom_site_fract_x
_atom_site_fract_y
_atom_site_fract_z
Pr1 Pr 0.250 0.252 0.937
Pr2 Pr 0.750 0.248 0.437
Pr3 Pr 0.250 0.752 0.563
Pr4 Pr 0.750 0.748 0.063
Pt1 Pt 0.250 0.574 0.012
Pt2 Pt 0.750 0.926 0.512
Pt3 Pt 0.250 0.074 0.488
Pt4 Pt 0.750 0.426 0.988
Pt5 Pt 0.750 0.312 0.764
Pt6 Pt 0.250 0.188 0.264
Pt7 Pt 0.750 0.812 0.736
Pt8 Pt 0.250 0.688 0.236
Pt9 Pt 0.250 0.958 0.088
Pt10 Pt 0.750 0.542 0.588
Pt11 Pt 0.250 0.458 0.412
Pt12 Pt 0.750 0.042 0.912
Pt13 Pt 0.997 0.431 0.199
Pt14 Pt 0.003 0.069 0.699
Pt15 Pt 0.503 0.931 0.301
Pt16 Pt 0.497 0.569 0.801
Pt17 Pt 0.003 0.569 0.801
Pt18 Pt 0.997 0.931 0.301
Pt19 Pt 0.497 0.069 0.699
Pt20 Pt 0.503 0.431 0.199
Pb1 Pb 0.250 0.855 0.860
Pb2 Pb 0.750 0.645 0.360
Pb3 Pb 0.250 0.355 0.640
Pb4 Pb 0.750 0.145 0.140
```

- final energy (eV per atom) = -6.07

An optimized crystal structure of YAg2B2O6, computed with GGA-PBE.

```
data_YAg2B2O6
_space_group_name_H-M_alt 'P 1'
_space_group_IT_number 1
_space_group_name_Hall 'P 1'
_cell_length_a 5.345
_cell_length_b 5.345
_cell_length_c 6.138
_cell_angle_alpha 90.00
_cell_angle_beta 90.00
_cell_angle_gamma 120.00
loop_
_atom_site_label
_atom_site_type_symbol
_atom_site_fract_x
_atom_site_fract_y
_atom_site_fract_z
Y1 Y 0.000 0.000 0.000
Ag1 Ag 0.667 0.333 0.706
Ag2 Ag 0.333 0.667 0.294
B1 B 0.333 0.667 0.780
B2 B 0.667 0.333 0.220
O1 O 0.105 0.386 0.780
O2 O 0.614 0.720 0.780
O3 O 0.280 0.895 0.780
O4 O 0.895 0.614 0.220
O5 O 0.386 0.280 0.220
O6 O 0.720 0.105 0.220
```

- final energy (eV per atom) = -6.91
- energy relative to the elements, uncorrected (meV per atom) = -1888

An optimized crystal structure of Ac5HoPb6, computed with GGA-PBE.

```
data_Ac5HoPb6
_space_group_name_H-M_alt 'P 1'
_space_group_IT_number 1
_space_group_name_Hall 'P 1'
_cell_length_a 7.570
_cell_length_b 8.261
_cell_length_c 9.240
_cell_angle_alpha 63.45
_cell_angle_beta 77.47
_cell_angle_gamma 60.98
loop_
_atom_site_label
_atom_site_type_symbol
_atom_site_fract_x
_atom_site_fract_y
_atom_site_fract_z
Ac1 Ac 0.500 0.184 0.631
Ac2 Ac 0.000 0.349 0.302
Ac3 Ac 0.500 0.500 0.000
Ac4 Ac 0.000 0.651 0.698
Ac5 Ac 0.500 0.816 0.369
Ho1 Ho 0.000 0.000 0.000
Pb1 Pb 0.792 0.050 0.325
Pb2 Pb 0.208 0.626 0.325
Pb3 Pb 0.287 0.196 0.000
Pb4 Pb 0.713 0.804 0.000
Pb5 Pb 0.792 0.374 0.675
Pb6 Pb 0.208 0.950 0.675
```

- final energy (eV per atom) = -4.37